Record 1
A plane-wave DFT calculation with GGA-PBEsol was carried out for a geometry-optimized LiZn2Cd structure.

Cell: 2.717 4.404 5.328 Å, 90.00 102.47 90.00°
Sites, in units of the cell vectors:
Zn1 0.781 0.000 0.729
Zn2 0.219 0.000 0.271
Cd1 0.500 0.500 0.000
Li1 0.000 0.500 0.500

Calculated values
Crystal system ... monoclinic
Energy of formation ... -1.9 kcal/mol of atoms
Energy ... -1.66 eV per atom
M_tot ... 0.00 μB per formula unit

Record 2
A plane-wave DFT calculation with GGA-PBEsol was carried out for a geometry-optimized In2ReRh structure.

Cell: 3.965 3.965 5.118 Å, 112.79 112.79 90.00°
Sites, in units of the cell vectors:
In1 0.000 0.000 0.000
In2 0.750 0.250 0.500
Re1 0.500 0.500 0.000
Rh1 0.250 0.750 0.500

Calculated values
Crystal system ... tetragonal
Energy of formation ... 9.3 kcal/mol of atoms
Energy ... -6.45 eV per atom
M_tot ... 0.00 μB per formula unit

Record 3
A plane-wave DFT calculation with GGA-PBEsol was carried out for a geometry-optimized LaAl2Ni structure.

Cell: 3.237 4.147 6.056 Å, 90.00 105.50 90.00°
Sites, in units of the cell vectors:
Ni1 0.717 0.500 0.811
Al1 0.816 0.000 0.007
Al2 0.382 0.500 0.140
La1 0.084 0.000 0.542

Calculated values
Crystal system ... orthorhombic
Energy of formation ... -5.4 kcal/mol of atoms
Energy ... -5.15 eV per atom
M_tot ... 0.00 μB per formula unit

Record 4
A plane-wave DFT calculation with GGA-PBEsol was carried out for a geometry-optimized Sn3MoOs structure.

Cell: 5.058 5.058 5.058 Å, 90.00 90.00 90.00°
Sites, in units of the cell vectors:
Mo1 0.500 0.500 0.500
Os1 0.000 0.000 0.000
Sn1 0.000 0.500 0.000
Sn2 0.000 0.000 0.500
Sn3 0.500 0.000 0.000

Calculated values
Crystal system ... cubic
Energy of formation ... 27.0 kcal/mol of atoms
Energy ... -6.18 eV per atom
M_tot ... 4.07 μB per formula unit

Record 5
A plane-wave DFT calculation with GGA-PBEsol was carried out for a geometry-optimized LiTeHN2 structure.

Cell: 3.426 3.426 4.760 Å, 90.00 90.00 90.00°
Sites, in units of the cell vectors:
H1 0.500 0.500 0.500
N1 0.000 0.500 0.000
N2 0.500 0.000 0.000
Te1 0.000 0.000 0.500
Li1 0.000 0.000 0.000

Calculated values
Crystal system ... tetragonal
Energy ... -3.41 eV per atom
M_tot ... 0.00 μB per formula unit

Record 6
A plane-wave DFT calculation with GGA-PBEsol was carried out for a geometry-optimized TlAg3Mo structure.

Cell: 5.064 5.064 5.064 Å, 90.00 90.00 90.00°
Sites, in units of the cell vectors:
Tl1 0.000 0.000 0.000
Mo1 0.500 0.500 0.500
Ag1 0.000 0.500 0.000
Ag2 0.000 0.000 0.500
Ag3 0.500 0.000 0.000

Calculated values
Crystal system ... cubic
Energy of formation ... 36.6 kcal/mol of atoms
Energy ... -3.28 eV per atom
M_tot ... 4.33 μB per formula unit

Record 7
A plane-wave DFT calculation with GGA-PBEsol was carried out for a geometry-optimized AlCo2Si structure.

Cell: 2.692 3.994 4.457 Å, 104.93 107.58 90.00°
Sites, in units of the cell vectors:
Si1 0.493 0.430 0.986
Co1 0.995 0.937 0.990
Co2 0.760 0.320 0.520
Al1 0.252 0.812 0.504

Calculated values
Crystal system ... monoclinic
Formation energy (no corrections) ... -0.560 eV per atom
Energy ... -6.89 eV per atom
M_tot ... 0.00 μB per formula unit

Record 8
A plane-wave DFT calculation with GGA-PBEsol was carried out for a geometry-optimized BAs2SBr structure.

Cell: 4.304 4.494 4.494 Å, 90.00 90.00 90.00°
Sites, in units of the cell vectors:
As1 0.000 0.000 0.500
As2 0.000 0.500 0.000
B1 0.000 0.000 0.000
S1 0.500 0.500 0.500
Br1 0.500 0.000 0.000

Calculated values
Crystal system ... tetragonal
Formation energy (no corrections) ... 0.860 eV per atom
Energy ... -3.84 eV per atom
M_tot ... 0.00 μB per formula unit

Record 9
A plane-wave DFT calculation with GGA-PBEsol was carried out for a geometry-optimized WBr4 structure.

Cell: 6.758 7.055 7.349 Å, 73.48 62.63 61.39°
Sites, in units of the cell vectors:
W1 0.799 0.500 0.500
W2 0.201 0.500 0.500
Br1 0.683 0.286 0.349
Br2 0.222 0.239 0.317
Br3 0.791 0.750 0.193
Br4 0.266 0.750 0.193
Br5 0.734 0.250 0.807
Br6 0.209 0.250 0.807
Br7 0.778 0.761 0.683
Br8 0.317 0.714 0.651

Calculated values
Crystal system ... monoclinic
Formation energy (no corrections) ... -0.451 eV per atom
Energy ... -4.71 eV per atom
M_tot ... 0.00 μB per formula unit

Record 10
A plane-wave DFT calculation with GGA-PBEsol was carried out for a geometry-optimized CrCu2Au structure.

Cell: 4.255 4.255 4.255 Å, 60.00 60.00 60.00°
Sites, in units of the cell vectors:
Au1 0.500 0.500 0.500
Cr1 0.250 0.250 0.250
Cu1 0.000 0.000 0.000
Cu2 0.750 0.750 0.750

Calculated values
Crystal system ... cubic
Energy of formation ... 5.3 kcal/mol of atoms
Energy ... -5.48 eV per atom
M_tot ... 3.56 μB per formula unit

Record 11
A plane-wave DFT calculation with GGA-PBEsol was carried out for a geometry-optimized ReHg2W structure.

Cell: 2.886 4.987 5.032 Å, 99.48 106.66 90.00°
Sites, in units of the cell vectors:
Hg1 0.249 0.249 0.498
Hg2 0.751 0.751 0.502
Re1 0.500 0.000 0.000
W1 0.000 0.500 0.000

Calculated values
Crystal system ... monoclinic
Energy of formation ... 18.0 kcal/mol of atoms
Energy ... -6.29 eV per atom
M_tot ... 0.00 μB per formula unit

Record 12
A plane-wave DFT calculation with GGA-PBEsol was carried out for a geometry-optimized KAl2Ir structure.

Cell: 2.689 5.633 5.692 Å, 117.68 99.95 97.36°
Sites, in units of the cell vectors:
K1 0.000 0.500 0.000
Ir1 0.500 0.000 0.000
Al1 0.000 0.000 0.500
Al2 0.500 0.500 0.500

Calculated values
Crystal system ... monoclinic
Energy of formation ... 13.7 kcal/mol of atoms
Energy ... -4.19 eV per atom
M_tot ... 0.00 μB per formula unit

Record 13
A plane-wave DFT calculation with GGA-PBEsol was carried out for a geometry-optimized YCr2Rh structure.

Cell: 4.503 4.503 4.503 Å, 60.00 60.00 60.00°
Sites, in units of the cell vectors:
Cr1 0.000 0.000 0.000
Cr2 0.250 0.250 0.250
Rh1 0.500 0.500 0.500
Y1 0.750 0.750 0.750

Calculated values
Crystal system ... cubic
Energy of formation ... 4.1 kcal/mol of atoms
Energy ... -8.68 eV per atom
M_tot ... 0.39 μB per formula unit